No. 1
CaAlCl6 (GGA-PBE, optimized geometry); symmetry = P-1, No. 2; E_form (uncorrected) = -1.481 eV/atom; DOS(E_F) = 9.54 states/eV/f.u.
1.0
6.428 0.009 0.011
3.208 5.569 0.019
3.206 1.857 5.736
Cl Ca Al
6 1 1
Cartesian
4.087 3.557 4.407
8.755 3.878 1.359
7.439 5.813 4.420
5.403 1.622 1.346
5.123 5.650 1.345
7.719 1.784 4.420
6.421 3.717 2.883
0.000 0.000 0.000


No. 2
InFe2Ag (GGA-PBE, optimized geometry); formation enthalpy at 0 K = 0.29 eV/atom; symmetry = P4/mmm, No. 123; DOS(E_F) = 2.81 states/eV/f.u.
1.0
3.904 0.000 0.000
0.000 3.898 0.000
0.000 0.000 4.130
Ag In Fe
1 1 2
Cartesian
0.000 1.949 2.065
1.952 0.000 2.065
1.952 1.949 0.000
0.000 0.000 0.000


No. 3
CeYPd (GGA-PBE, optimized geometry); formation enthalpy at 0 K = -0.26 eV/atom; symmetry = P3m1, No. 156; energy above the lowest structure with this stoichiometry = 0.210 eV per atom; DOS(E_F) = 6.42 states/eV/f.u.
1.0
-0.702 -3.081 -1.904
4.038 -1.996 1.742
-4.171 -0.520 2.378
Y Pd Ce
1 1 1
Cartesian
0.868 -3.410 0.776
-1.676 -2.071 1.511
-0.026 -0.116 -0.072


No. 4
Tl2CdCu (GGA-PBE, optimized geometry); formation enthalpy at 0 K = 0.23 eV/atom; symmetry = I-42d, No. 122; energy above the lowest structure with this stoichiometry = 0.090 eV per atom; DOS(E_F) = 2.01 states/eV/f.u.
1.0
-4.522 -3.844 -6.827
6.599 -6.118 -0.926
-0.196 -6.572 -2.163
Tl Cd Cu
4 2 2
Cartesian
-1.604 -4.431 -4.250
3.064 -6.327 -2.646
1.283 -9.268 -4.620
1.019 -13.043 -8.314
0.000 0.000 0.000
-1.840 -7.699 -6.433
1.038 -4.981 -3.876
3.721 -8.836 -3.482


No. 5
Sm2HPd4 (GGA-PBE, optimized geometry); symmetry = I4/mmm, No. 139; raw total energy = -37.223 eV per cell; DOS(E_F) = 2.33 states/eV/f.u.
1.0
3.815 0.000 0.000
0.000 3.815 0.000
1.907 1.907 9.100
Sm H Pd
2 1 4
Cartesian
3.815 3.815 6.691
1.907 1.907 2.409
0.000 0.000 0.000
0.000 1.907 0.000
1.907 0.000 0.000
1.907 1.907 5.340
3.815 3.815 3.761


No. 6
SrGa2Bi2 (GGA-PBE, optimized geometry); formation enthalpy at 0 K = -0.26 eV/atom; symmetry = P4/mbm, No. 127; energy above the lowest structure with this stoichiometry = 0.000 eV per atom; DOS(E_F) = 2.45 states/eV/f.u.
1.0
8.337 0.000 0.000
0.000 8.337 0.000
0.000 0.000 4.052
Bi Ga Sr
4 4 2
Cartesian
5.570 6.935 2.026
6.935 2.767 2.026
2.767 1.402 2.026
1.402 5.570 2.026
0.976 3.193 0.000
5.144 0.976 0.000
3.193 7.361 0.000
7.361 5.144 0.000
0.000 0.000 0.000
4.168 4.168 0.000


No. 7
Ce6In2Pb (GGA-PBE, optimized geometry); formation enthalpy at 0 K = -0.20 eV/atom; symmetry = P6/mmm, No. 191; energy above the lowest structure with this stoichiometry = 0.076 eV per atom; DOS(E_F) = 24.65 states/eV/f.u.
1.0
3.166 0.000 0.000
0.000 7.969 -4.601
0.000 0.000 9.202
Pb Ce In
1 6 2
Cartesian
0.000 0.000 0.000
1.583 5.229 3.019
1.583 0.000 3.163
1.583 2.739 1.582
1.583 0.000 6.038
1.583 2.739 -1.582
1.583 5.229 6.182
3.166 5.313 0.000
0.000 2.656 4.601


No. 8
RbBr2Cl6 (GGA-PBE, optimized geometry); symmetry = C2/c, No. 15; E_form (uncorrected) = -0.422 eV/atom; DOS(E_F) = 4.44 states/eV/f.u.
1.0
-0.472 -2.923 -7.974
8.832 3.748 -1.202
-0.309 -8.822 3.947
Cl Rb Br
12 2 4
Cartesian
0.297 -3.539 -4.163
6.131 -7.826 -4.272
7.754 -4.457 -1.066
0.903 -8.109 -5.319
3.713 -1.937 0.768
2.391 -7.566 -1.350
3.093 -3.927 -3.002
4.337 -6.059 -5.997
5.660 -0.431 -3.879
1.920 -0.170 -0.957
4.958 -4.069 -2.227
7.148 0.113 0.090
7.869 1.856 -2.720
0.182 -9.852 -2.509
4.249 -7.772 -2.711
0.504 -5.896 -4.780
3.802 -0.225 -2.518
7.546 -2.100 -0.449


No. 9
YRu2Se (GGA-PBE, optimized geometry); symmetry = R3m, No. 160; E_form (uncorrected) = -0.254 eV/atom; DOS(E_F) = 2.24 states/eV/f.u.
1.0
6.352 -0.004 -0.003
5.100 3.786 -0.003
5.100 1.684 3.391
Y Se Ru
1 1 2
Cartesian
12.296 4.061 2.515
8.529 2.816 1.744
16.126 5.325 3.298
4.431 1.463 0.906


No. 10
In2NiHg (GGA-PBE, optimized geometry); formation enthalpy at 0 K = 0.23 eV/atom; symmetry = P4/mmm, No. 123; DOS(E_F) = 2.91 states/eV/f.u.
1.0
-1.798 -4.020 -0.490
3.409 -1.215 -2.547
2.036 -1.320 3.354
Ni Hg In
1 1 2
Cartesian
0.119 -2.670 1.432
2.723 -1.267 0.404
0.000 0.000 0.000
0.806 -2.617 -1.519


No. 11
YPRuO2 (GGA-PBE, optimized geometry); symmetry = P4/mmm, No. 123; energy above the lowest structure with this stoichiometry = 0.000 eV per atom; E_form (uncorrected) = -1.027 eV/atom; DOS(E_F) = 2.75 states/eV/f.u.
1.0
3.912 0.000 0.000
0.000 3.912 0.000
0.000 0.000 5.020
Y Ru O P
1 1 2 1
Cartesian
1.956 1.956 2.510
0.000 0.000 0.000
1.956 0.000 0.000
0.000 1.956 0.000
0.000 0.000 2.510


No. 12
LiYHf (GGA-PBE, optimized geometry); formation enthalpy at 0 K = 0.45 eV/atom; symmetry = P6_3/mmc, No. 194; energy above the lowest structure with this stoichiometry = 0.350 eV per atom; DOS(E_F) = 3.65 states/eV/f.u.
1.0
8.563 0.000 0.000
0.000 6.691 0.000
0.000 0.000 4.945
Li Y Hf
4 4 4
Cartesian
5.713 1.673 4.944
7.132 5.019 2.472
1.431 1.673 2.473
2.850 5.019 0.000
4.282 0.000 2.472
0.000 3.346 0.000
4.282 3.346 2.472
0.000 0.000 0.000
7.139 1.673 2.472
2.858 1.673 0.000
1.424 5.019 2.473
5.706 5.019 4.944


No. 13
SiNiIr2 (GGA-PBE, optimized geometry); symmetry = F-43m, No. 216; E_form (uncorrected) = 0.068 eV/atom; DOS(E_F) = 6.25 states/eV/f.u.
1.0
4.245 0.000 0.000
2.122 3.676 0.000
2.122 1.225 3.466
Ni Ir Si
1 2 1
Cartesian
4.245 2.451 1.733
2.122 1.225 0.866
0.000 0.000 0.000
6.367 3.676 2.599


No. 14
TlCoAu2 (GGA-PBE, optimized geometry); formation enthalpy at 0 K = 0.25 eV/atom; symmetry = C2/m, No. 12; energy above the lowest structure with this stoichiometry = 0.006 eV per atom; DOS(E_F) = 1.87 states/eV/f.u.
1.0
-2.036 -5.832 0.455
-0.003 -5.609 2.626
-3.261 -0.382 3.093
Au Co Tl
2 1 1
Cartesian
-3.199 -0.932 3.092
-2.711 -5.361 3.089
-3.975 -8.867 4.631
-1.325 -2.956 1.544


No. 15
Co2RhAu (GGA-PBE, optimized geometry); formation enthalpy at 0 K = 0.19 eV/atom; symmetry = Cmmm, No. 65; DOS(E_F) = 5.14 states/eV/f.u.
1.0
-2.346 -0.718 3.871
-1.154 -3.332 -2.927
2.045 -1.546 0.953
Co Rh Au
2 1 1
Cartesian
0.000 0.000 0.000
-1.750 -2.025 0.472
-0.150 -1.132 2.412
0.445 -2.439 -0.987


No. 16
CeEr3Tc (GGA-PBE, optimized geometry); formation enthalpy at 0 K = -0.06 eV/atom; symmetry = Cm, No. 8; DOS(E_F) = 6.00 states/eV/f.u.
1.0
-1.590 3.514 -0.254
-5.362 -0.520 -3.036
-7.107 -0.393 9.663
Er Tc Ce
6 2 2
Cartesian
-6.833 1.048 -1.536
-4.152 2.619 3.412
-10.504 1.983 4.976
-5.460 0.052 5.505
-7.674 1.004 3.124
-8.651 3.046 8.082
-4.022 2.437 0.078
-8.141 1.006 6.073
-4.817 0.044 1.359
-3.323 0.504 -1.639


No. 17
AcTbYTl (GGA-PBE, optimized geometry); formation enthalpy at 0 K = 0.04 eV/atom; symmetry = F-43m, No. 216; DOS(E_F) = 7.09 states/eV/f.u.
1.0
-2.230 -1.568 -4.937
3.250 -2.426 -3.919
-0.635 -5.475 -1.196
Y Ac Tl Tb
1 1 1 1
Cartesian
0.288 -7.101 -7.539
0.000 0.000 0.000
0.192 -4.734 -5.026
0.096 -2.367 -2.513


No. 18
Ce2Ga3Co5 (GGA-PBE, optimized geometry); formation enthalpy at 0 K = -0.28 eV/atom; symmetry = Ibam, No. 72; DOS(E_F) = 10.62 states/eV/f.u.
1.0
5.660 0.000 0.000
2.830 7.526 -0.071
2.830 1.091 7.447
Co Ce Ga
10 4 6
Cartesian
8.490 7.586 1.953
2.830 1.031 5.423
4.245 4.309 3.688
7.075 4.309 3.688
9.904 6.717 5.750
4.245 1.900 1.626
5.660 3.099 7.194
7.075 6.717 5.750
5.660 5.518 0.182
1.415 1.900 1.626
2.830 4.763 1.003
5.660 1.725 4.551
8.490 3.854 6.373
5.660 6.892 2.825
5.660 4.795 5.519
2.830 2.425 3.490
8.490 6.193 3.887
5.660 3.822 1.857
1.415 0.000 0.000
4.245 0.000 0.000


No. 19
Cs2NpGaCl6 (GGA-PBE, optimized geometry); symmetry = I4mm, No. 107; E_form (uncorrected) = -1.660 eV/atom; DOS(E_F) = 8.19 states/eV/f.u.
1.0
8.001 0.000 0.000
0.000 8.002 -0.001
-4.002 -4.002 5.658
Cs Ga Cl Np
2 1 6 1
Cartesian
0.001 4.004 2.847
4.000 0.004 2.849
4.001 4.006 0.000
-2.079 2.079 5.648
4.001 4.004 2.935
2.076 -2.073 5.646
-0.002 0.004 2.718
-2.077 -2.074 5.649
2.075 2.081 5.646
4.000 -3.997 5.656


No. 20
Tb4TlGa (GGA-PBE, optimized geometry); formation enthalpy at 0 K = -0.14 eV/atom; symmetry = P4/mmm, No. 123; DOS(E_F) = 8.37 states/eV/f.u.
1.0
-4.603 -1.097 1.832
0.277 -4.623 -2.073
3.023 -2.546 6.075
Tb Tl Ga
4 1 1
Cartesian
0.191 -7.033 3.315
2.353 -4.172 3.436
-1.240 -5.825 0.439
0.923 -2.965 0.560
0.848 -5.390 5.951
1.776 -5.880 0.962